KSnRh2 | PBE | relaxed

Summary:
The calculation puts the energy of formation from the pure elements at 0.243 eV/atom. The calculation puts the energy above the most stable polymorph in this dataset at 0.0 meV/atom.

```
4
Lattice="0.000 3.346 3.346 3.346 0.000 3.346 3.346 3.346 0.000" Properties=species:S:1:pos:R:3 pbc="T T T"
K 0.000 0.000 0.000
Sn 3.346 3.346 3.346
Rh 1.673 1.673 1.673
Rh 5.019 5.019 5.019
```